# HgP2Pb2

HgP2Pb2 after structural relaxation (PBE-GGA, the Alexandria database).

Values from the calculation:
- Formation enthalpy at 0 K: 1.40 eV/f.u.
- Space group: P4/mbm (127)

Unit cell a=7.938 b=7.938 c=3.910 alpha=90.00 beta=90.00 gamma=90.00
Element x y z (fractional)
Pb1 0.149 0.649 0.500
Pb2 0.649 0.851 0.500
Pb3 0.851 0.351 0.500
Pb4 0.351 0.149 0.500
P1 0.332 0.832 0.000
P2 0.832 0.668 0.000
P3 0.668 0.168 0.000
P4 0.168 0.332 0.000
Hg1 0.000 0.000 0.000
Hg2 0.500 0.500 0.000

---

# InAg3Cl7

InAg3Cl7 after structural relaxation (PBE-GGA, the Alexandria database).

Values from the calculation:
- Energy relative to the elements, uncorrected: -0.642 eV/atom
- Space group: Cm (8)

Unit cell a=6.718 b=6.718 c=7.938 alpha=71.15 beta=71.15 gamma=78.15
Element x y z (fractional)
In1 0.947 0.947 0.078
Ag1 0.824 0.357 0.348
Ag2 0.561 0.561 0.848
Ag3 0.357 0.824 0.348
Cl1 0.707 0.707 0.058
Cl2 0.860 0.262 0.830
Cl3 0.635 0.062 0.334
Cl4 0.262 0.860 0.830
Cl5 0.499 0.499 0.564
Cl6 0.062 0.635 0.334
Cl7 0.160 0.160 0.179

---

# K2Re2Tc

K2Re2Tc after structural relaxation (PBE-GGA, the Alexandria database).

Values from the calculation:
- Formation enthalpy at 0 K: 12.15 eV/f.u.
- Space group: P4/mbm (127)

Unit cell a=9.468 b=9.468 c=2.518 alpha=90.00 beta=90.00 gamma=90.00
Last column: magnetic moment on the atom in μB.
Element x y z (fractional)
Re1 0.196 0.696 0.500  0.68
Re2 0.696 0.804 0.500  0.70
Re3 0.804 0.304 0.500  0.68
Re4 0.304 0.196 0.500  0.70
K1 0.394 0.894 0.000  0.01
K2 0.894 0.606 0.000  0.01
K3 0.606 0.106 0.000  0.01
K4 0.106 0.394 0.000  0.01
Tc1 0.000 0.000 0.000  1.16
Tc2 0.500 0.500 0.000  1.16

---

# ThBC2

ThBC2 after structural relaxation (PBE-GGA, the Alexandria database).

Values from the calculation:
- Formation enthalpy at 0 K: 0.30 eV/f.u.
- Space group: Pmma (51)

Unit cell a=3.680 b=4.155 c=7.149 alpha=90.00 beta=90.00 gamma=90.00
Element x y z (fractional)
Th1 0.000 0.721 0.250
Th2 0.000 0.279 0.750
B1 0.500 0.214 0.250
B2 0.500 0.786 0.750
C1 0.500 0.620 0.564
C2 0.500 0.380 0.436
C3 0.500 0.380 0.064
C4 0.500 0.620 0.936

---

# CsTe2W

CsTe2W after structural relaxation (PBE-GGA, the Alexandria database).

Values from the calculation:
- Energy relative to the elements, uncorrected: 0.890 eV/atom
- Space group: Fm-3m (225)

Unit cell a=5.502 b=5.502 c=5.502 alpha=60.00 beta=60.00 gamma=60.00
Last column: magnetic moment on the atom in μB.
Element x y z (fractional)
Cs1 0.000 0.000 0.000  0.01
Te1 0.250 0.250 0.250  -0.15
Te2 0.750 0.750 0.750  -0.15
W1 0.500 0.500 0.500  2.50

---

# IrRhAuI

IrRhAuI after structural relaxation (PBE-GGA, the Alexandria database).

Values from the calculation:
- Energy relative to the elements, uncorrected: 0.613 eV/atom
- Space group: Cm (8)

Unit cell a=3.969 b=3.970 c=5.424 alpha=74.02 beta=74.05 gamma=78.21
Element x y z (fractional)
Ir1 0.336 0.328 0.582
Rh1 0.785 0.777 0.332
Au1 0.278 0.269 0.118
I1 0.880 0.872 0.764

---

# Dy2InOs

Dy2InOs after structural relaxation (PBE-GGA, the Alexandria database).

Values from the calculation:
- Formation enthalpy at 0 K: -0.97 eV/f.u.
- Space group: Fm-3m (225)

Unit cell a=5.040 b=5.040 c=5.040 alpha=60.00 beta=60.00 gamma=60.00
Element x y z (fractional)
In1 0.500 0.500 0.500
Os1 0.000 0.000 0.000
Dy1 0.250 0.250 0.250
Dy2 0.750 0.750 0.750

---

# ReTc2W

ReTc2W after structural relaxation (PBE-GGA, the Alexandria database).

Values from the calculation:
- Formation enthalpy at 0 K: 0.67 eV/f.u.
- Space group: P4mm (99)

Unit cell a=3.116 b=3.116 c=6.286 alpha=90.00 beta=90.00 gamma=90.00
Element x y z (fractional)
Re1 0.500 0.500 0.747
Tc1 0.000 0.000 0.993
Tc2 0.500 0.500 0.264
W1 0.000 0.000 0.496

---

# ZrB3W

ZrB3W after structural relaxation (PBE-GGA, the Alexandria database).

Values from the calculation:
- Formation enthalpy at 0 K: 10.48 eV/f.u.
- Space group: Pm-3m (221)

Unit cell a=4.106 b=4.106 c=4.106 alpha=90.00 beta=90.00 gamma=90.00
Element x y z (fractional)
B1 0.000 0.500 0.000
B2 0.000 0.000 0.500
B3 0.500 0.000 0.000
Zr1 0.000 0.000 0.000
W1 0.500 0.500 0.500

---

# LiYP2

LiYP2 after structural relaxation (PBE-GGA, the Alexandria database).

Values from the calculation:
- Formation enthalpy at 0 K: -2.52 eV/f.u.
- Space group: Fm-3m (225)

Unit cell a=4.725 b=4.725 c=4.725 alpha=60.00 beta=60.00 gamma=60.00
Element x y z (fractional)
Y1 0.500 0.500 0.500
P1 0.250 0.250 0.250
P2 0.750 0.750 0.750
Li1 0.000 0.000 0.000

---

# LiEuHoGe

LiEuHoGe after structural relaxation (PBE-GGA, the Alexandria database).

Values from the calculation:
- Formation enthalpy at 0 K: -1.46 eV/f.u.
- Space group: F-43m (216)

Unit cell a=5.145 b=5.145 c=5.145 alpha=60.00 beta=60.00 gamma=60.00
Last column: magnetic moment on the atom in μB.
Element x y z (fractional)
Eu1 0.500 0.500 0.500  6.87
Ge1 0.250 0.250 0.250  -0.04
Ho1 0.000 0.000 0.000  0.19
Li1 0.750 0.750 0.750  0.03

---

# Pr6Ge2PSe3

Pr6Ge2PSe3 after structural relaxation (PBE-GGA, the Alexandria database).

Values from the calculation:
- Energy relative to the elements, uncorrected: -1.525 eV/atom
- Space group: C2/m (12)

Unit cell a=4.288 b=8.612 c=9.616 alpha=103.25 beta=102.88 gamma=90.00
Element x y z (fractional)
Pr1 0.337 0.912 0.674
Pr2 0.668 0.578 0.337
Pr3 0.663 0.088 0.326
Pr4 0.003 0.240 0.005
Pr5 0.997 0.760 0.995
Pr6 0.332 0.422 0.663
Ge1 0.834 0.668 0.668
Ge2 0.166 0.332 0.332
P1 0.500 0.000 0.000
Se1 0.500 0.500 0.000
Se2 0.834 0.166 0.667
Se3 0.166 0.834 0.333

---

The evaluated magnetic moment for the records listed, in turn: 0.00; 0.00; 2.95; 0.00; 2.90; 0.00; 0.00; 0.00; 0.00; 0.00; 7.44; 0.00 μB per formula unit.